## Ba2FeTe (SCAN)

Data for a PBEsol-optimized structure of Ba2FeTe.

The structure belongs to space group Imm2 (No. 44); the cell edges are 4.0617, 5.1021 and 12.0279 Å and the angles 90.00°, 90.00° and 90.00°. The distinct sites, in fractional coordinates, are Ba at (0.0000, 0.0000, 0.0000), Ba at (0.0000, 0.5000, 0.2104), Fe at (0.0000, 0.5000, 0.7623) and Te at (0.0000, 0.0000, 0.4075).

The crystal system is orthorhombic. As for the energy relative to the elements, uncorrected: -0.357 eV per atom. The value obtained for the calculated density is 6.10 Mg/m³. The value obtained for the density of states at the Fermi level is 0.417 states/eV/atom.

=====

## Ba2FeTe (SCAN)

Data for a PBEsol-optimized structure of Ba2FeTe.

The structure belongs to space group P2/m (No. 10); the cell edges are 4.1490, 4.1376 and 7.8638 Å and the angles 90.00°, 92.63° and 90.00°. The distinct sites, in fractional coordinates, are Ba at (0.0189, 0.0000, 0.2520), Fe at (0.5000, 0.5000, 0.5000) and Te at (0.5000, 0.5000, 0.0000).

The crystal system is monoclinic. As for the energy relative to the elements, uncorrected: -0.461 eV per atom. The value obtained for the calculated density is 5.64 Mg/m³. The value obtained for the density of states at the Fermi level is 0.587 states/eV/atom.

=====

## Ba2FeTe (SCAN)

Data for a PBEsol-optimized structure of Ba2FeTe.

The structure belongs to space group P4/mmm (No. 123); the cell edges are 4.8082, 4.8082 and 6.8026 Å and the angles 90.00°, 90.00° and 90.00°. The distinct sites, in fractional coordinates, are Ba at (0.0000, 0.0000, 0.0000), Ba at (0.5000, 0.5000, 0.5000), Fe at (0.0000, 0.0000, 0.5000) and Te at (0.5000, 0.5000, 0.0000).

The crystal system is tetragonal. As for the energy relative to the elements, uncorrected: -0.403 eV per atom. The value obtained for the calculated density is 4.84 Mg/m³. The value obtained for the density of states at the Fermi level is 0.259 states/eV/atom.

=====

## BaFe2Te (SCAN)

Data for a PBEsol-optimized structure of BaFe2Te.

The structure belongs to space group P4mm (No. 99); the cell edges are 3.3783, 3.3783 and 7.5840 Å and the angles 90.00°, 90.00° and 90.00°. The distinct sites, in fractional coordinates, are Ba at (0.0000, 0.0000, 0.0000), Fe at (0.0000, 0.0000, 0.4359), Fe at (0.5000, 0.5000, 0.3170) and Te at (0.5000, 0.5000, 0.6502).

The crystal system is tetragonal. As for the energy relative to the elements, uncorrected: 0.165 eV per atom. The value obtained for the calculated density is 7.23 Mg/m³. The value obtained for the density of states at the Fermi level is 0.541 states/eV/atom.